[1]
Entry from Alexandria via LeMat-Bulk: a relaxed CoTc3C crystal (PBE).

abc: 4.366 4.366 4.366
angles: 90.00 90.00 90.00
Element x y z (fractional)
Co  0.000  0.000  0.000
Tc  0.000  0.000  0.500
Tc  0.000  0.500  0.000
Tc  0.500  0.000  0.000
C  0.500  0.500  0.500

Results
The value obtained for the energy of formation is 2.589 eV per atom. The total magnetization is 0.66 μB per formula unit. Its density of states at the Fermi level is 6.8 states/eV per cell. The polymorph energy (0 for the lowest one) comes out at 2290 meV per atom.

---

[2]
Entry from Alexandria via LeMat-Bulk: a relaxed Ac2NpP3Ir12 crystal (PBE).

abc: 7.790 7.790 7.790
angles: 62.97 62.97 62.97
Element x y z (fractional)
Ac  0.106  0.106  0.106
Ac  0.894  0.894  0.894
Np  0.500  0.500  0.500
P  0.000  0.500  0.500
P  0.500  0.000  0.500
P  0.500  0.500  0.000
Ir  0.120  0.626  0.626
Ir  0.158  0.158  0.593
Ir  0.158  0.593  0.158
Ir  0.374  0.374  0.880
Ir  0.374  0.880  0.374
Ir  0.407  0.842  0.842
Ir  0.593  0.158  0.158
Ir  0.626  0.120  0.626
Ir  0.626  0.626  0.120
Ir  0.842  0.407  0.842
Ir  0.842  0.842  0.407
Ir  0.880  0.374  0.374

Results
The value obtained for the energy of formation is -0.025 eV per atom. The total magnetization is 0.68 μB per formula unit. Its density of states at the Fermi level is 13.1 states/eV per cell.

---

[3]
Entry from Alexandria via LeMat-Bulk: a relaxed BeTePbI2 crystal (PBE).

abc: 5.418 5.418 5.487
angles: 90.00 90.00 90.00
Element x y z (fractional)
Be  0.000  0.000  0.000
Te  0.000  0.000  0.500
Pb  0.500  0.500  0.500
I  0.000  0.500  0.000
I  0.500  0.000  0.000

Results
The total magnetization is 0.00 μB per formula unit. Its density of states at the Fermi level is 0.8 states/eV per cell. The uncorrected formation energy comes out at 0.027 eV/atom. The polymorph energy (0 for the lowest one) comes out at 0 meV per atom.

---

[4]
Entry from Alexandria via LeMat-Bulk: a relaxed Mg3W crystal (PBE).

abc: 5.812 5.812 5.812
angles: 150.32 128.66 60.43
Element x y z (fractional)
Mg  0.000  0.000  0.000
Mg  0.257  0.757  0.500
Mg  0.743  0.243  0.500
W  0.500  0.500  0.000

Results
The value obtained for the energy of formation is 0.475 eV per atom. The total magnetization is 0.00 μB per formula unit. Its density of states at the Fermi level is 2.2 states/eV per cell. The polymorph energy (0 for the lowest one) comes out at 190 meV per atom.

---

[5]
Entry from Alexandria via LeMat-Bulk: a relaxed PuGeP3 crystal (PBE).

abc: 12.974 5.466 5.341
angles: 90.00 90.00 90.00
Element x y z (fractional)
Pu  0.167  0.002  0.250
Pu  0.167  0.498  0.750
Pu  0.833  0.502  0.250
Pu  0.833  0.998  0.750
Ge  0.381  0.250  0.000
Ge  0.381  0.250  0.500
Ge  0.619  0.750  0.000
Ge  0.619  0.750  0.500
P  0.000  0.250  0.000
P  0.000  0.250  0.500
P  0.000  0.750  0.000
P  0.000  0.750  0.500
P  0.228  0.508  0.250
P  0.228  0.992  0.750
P  0.375  0.709  0.250
P  0.375  0.791  0.750
P  0.625  0.209  0.250
P  0.625  0.291  0.750
P  0.772  0.008  0.250
P  0.772  0.492  0.750

Results
The value obtained for the energy of formation is -0.298 eV per atom. The total magnetization is 4.96 μB per formula unit. Its density of states at the Fermi level is 30.4 states/eV per cell.

---

[6]
Entry from Alexandria via LeMat-Bulk: a relaxed Sm5DyAs6 crystal (PBE).

abc: 7.273 7.273 7.273
angles: 99.60 99.60 119.98
Element x y z (fractional)
Sm  0.000  0.000  0.000
Sm  0.166  0.834  0.500
Sm  0.333  0.667  0.000
Sm  0.667  0.333  0.000
Sm  0.834  0.166  0.500
Dy  0.500  0.500  0.500
As  0.087  0.417  0.252
As  0.253  0.253  0.748
As  0.417  0.087  0.252
As  0.583  0.913  0.748
As  0.747  0.747  0.252
As  0.913  0.583  0.748

Results
The value obtained for the energy of formation is -1.528 eV per atom. The total magnetization is 0.00 μB per formula unit. Its density of states at the Fermi level is 1.2 states/eV per cell.

---

[7]
Entry from Alexandria via LeMat-Bulk: a relaxed Ce4Nd2Sn3Cl2 crystal (PBE).

abc: 12.731 12.731 12.731
angles: 156.10 156.10 34.05
Element x y z (fractional)
Ce  0.085  0.585  0.500
Ce  0.415  0.915  0.500
Ce  0.585  0.085  0.500
Ce  0.915  0.415  0.500
Nd  0.199  0.199  0.000
Nd  0.801  0.801  0.000
Sn  0.330  0.330  0.000
Sn  0.500  0.500  0.000
Sn  0.670  0.670  0.000
Cl  0.076  0.076  0.000
Cl  0.924  0.924  0.000

Results
The total magnetization is 2.77 μB per formula unit. Its density of states at the Fermi level is 21.9 states/eV per cell. The uncorrected formation energy comes out at -0.745 eV/atom.

---

[8]
Entry from Alexandria via LeMat-Bulk: a relaxed ErPa2VN5 crystal (PBE).

abc: 6.989 6.989 10.177
angles: 90.00 90.00 152.31
Element x y z (fractional)
Er  0.206  0.794  0.500
Er  0.794  0.206  0.000
Pa  0.111  0.889  0.186
Pa  0.141  0.859  0.796
Pa  0.859  0.141  0.296
Pa  0.889  0.111  0.686
V  0.484  0.516  0.965
V  0.516  0.484  0.465
N  0.039  0.961  0.551
N  0.283  0.717  0.168
N  0.330  0.670  0.849
N  0.373  0.627  0.503
N  0.482  0.518  0.280
N  0.518  0.482  0.780
N  0.627  0.373  0.003
N  0.670  0.330  0.349
N  0.717  0.283  0.668
N  0.961  0.039  0.051

Results
The total magnetization is 0.00 μB per formula unit. Its density of states at the Fermi level is 11.9 states/eV per cell. The uncorrected formation energy comes out at -1.397 eV/atom.